Here is Tl3InAu2 after structural relaxation from Alexandria via LeMat-Bulk. Energies are from GGA-PBE.

extended XYZ file:
```
12
Lattice="4.0274 0.0000 0.8194 1.7151 8.1627 1.8775 0.0385 0.7808 10.1177" Properties=species:S:1:pos:R:3 pbc="T T T"
Au 2.8623 2.4355 6.5458
Au 1.6548 4.3902 2.1738
Au 4.1262 4.5533 10.6408
Au 2.9186 6.5080 6.2688
In 2.4981 4.6176 8.3358
In 3.2828 4.3260 4.4789
Tl 1.2324 1.4763 4.2499
Tl 1.8829 1.6314 1.0525
Tl 5.3432 7.2570 4.6589
Tl 3.8980 7.3121 11.7622
Tl 0.4377 1.6865 8.1557
Tl 4.5486 7.4672 8.5647
```

ΔH_f (0 K) in meV per atom: -59
Symmetry: C2/m

***

Here is TlInAu2 after structural relaxation from Alexandria via LeMat-Bulk. Energies are from GGA-PBE.

extended XYZ file:
```
8
Lattice="4.5230 0.0000 0.0000 0.0000 5.4100 -1.7344 0.0000 -0.0620 7.6161" Properties=species:S:1:pos:R:3 pbc="T T T"
In 1.1308 1.6099 3.8797
In 3.3923 3.7382 2.0020
Au 3.3923 0.9395 2.1595
Au 3.3923 0.8277 5.5287
Au 1.1308 4.5203 0.3530
Au 1.1308 4.4086 3.7223
Tl 3.3923 3.8070 5.8854
Tl 1.1308 1.5411 -0.0037
```

ΔH_f (0 K) in meV per atom: -130
Symmetry: P2_1/m